Entry from Alexandria: a relaxed Tl6InSn2 crystal (PBE).

Lattice parameters (Å, degrees): 3.5593 3.5593 24.8046 90.00 90.00 120.00
Element x y z (fractional)
1 Tl 0.0000 0.0000 0.0658
2 Tl 0.0000 0.0000 0.2799
3 Tl 0.0000 0.0000 0.7201
4 Tl 0.0000 0.0000 0.9342
5 Tl 0.3333 0.6667 0.3942
6 Tl 0.3333 0.6667 0.6058
7 In 0.0000 0.0000 0.5000
8 Sn 0.3333 0.6667 0.1730
9 Sn 0.3333 0.6667 0.8270

Results
Total DFT energy (no corrections) in eV/atom: -2.7359
DOS(E_F) in states/eV/atom: 0.551
Symmetry: No. 187

Entry from Alexandria: a relaxed RbPSeO2 crystal (PBE).

Lattice parameters (Å, degrees): 4.2946 4.2946 4.8688 90.00 90.00 90.00
Element x y z (fractional)
1 Rb 0.0000 0.0000 0.0000
2 P 0.5000 0.5000 0.0000
3 Se 0.5000 0.5000 0.5000
4 O 0.0000 0.5000 0.5000
5 O 0.5000 0.0000 0.5000

Results
Total DFT energy (no corrections) in eV/atom: -3.8757
DOS(E_F) in states/eV/atom: 0.603
Symmetry: No. 123

Entry from Alexandria: a relaxed TlNi2Pt crystal (PBE).

Lattice parameters (Å, degrees): 8.5497 2.9769 4.9754 90.00 101.86 90.00
Element x y z (fractional)
1 Tl 0.0000 0.0000 0.0000
2 Tl 0.5000 0.5000 0.0000
3 Ni 0.2462 0.0000 0.7123
4 Ni 0.2538 0.5000 0.2877
5 Ni 0.7462 0.5000 0.7123
6 Ni 0.7538 0.0000 0.2877
7 Pt 0.0000 0.5000 0.5000
8 Pt 0.5000 0.0000 0.5000

Results
Total DFT energy (no corrections) in eV/atom: -4.7935
DOS(E_F) in states/eV/atom: 1.374
Symmetry: No. 12

Entry from Alexandria: a relaxed Sm2Ge7Rh12 crystal (PBE).

Lattice parameters (Å, degrees): 9.9886 9.9886 3.9370 90.00 90.00 120.00
Element x y z (fractional)
1 Sm 0.3333 0.6667 0.2504
2 Sm 0.6667 0.3333 0.7496
3 Ge 0.0000 0.0000 0.0000
4 Ge 0.1132 0.4020 0.7499
5 Ge 0.2889 0.8868 0.7499
6 Ge 0.4020 0.2889 0.2501
7 Ge 0.5980 0.7111 0.7499
8 Ge 0.7111 0.1132 0.2501
9 Ge 0.8868 0.5980 0.2501
10 Rh 0.0610 0.6185 0.7488
11 Rh 0.1192 0.8567 0.2484
12 Rh 0.1433 0.2624 0.2484
13 Rh 0.2624 0.1192 0.7516
14 Rh 0.3815 0.4424 0.7488
15 Rh 0.4424 0.0610 0.2512
16 Rh 0.5576 0.9390 0.7488
17 Rh 0.6185 0.5576 0.2512
18 Rh 0.7376 0.8808 0.2484
19 Rh 0.8567 0.7376 0.7516
20 Rh 0.8808 0.1433 0.7516
21 Rh 0.9390 0.3815 0.2512

Results
Total DFT energy (no corrections) in eV/atom: -6.9026
DOS(E_F) in states/eV/atom: 0.496
Symmetry: No. 147

Entry from Alexandria: a relaxed AcHo2PuO8 crystal (PBE).

Lattice parameters (Å, degrees): 5.1483 7.2601 5.1526 90.00 91.05 90.00
Element x y z (fractional)
1 Ac 0.0000 0.0000 0.0000
2 Ho 0.5000 0.2417 0.5000
3 Ho 0.5000 0.7583 0.5000
4 Pu 0.0000 0.5000 0.0000
5 O 0.1898 0.2928 0.1912
6 O 0.1898 0.7072 0.1912
7 O 0.2739 0.5000 0.7277
8 O 0.3254 0.0000 0.6773
9 O 0.6746 0.0000 0.3227
10 O 0.7261 0.5000 0.2723
11 O 0.8102 0.2928 0.8088
12 O 0.8102 0.7072 0.8088

Results
Total DFT energy (no corrections) in eV/atom: -8.6552
Symmetry: No. 10

Entry from Alexandria: a relaxed Nd2ZrBi2N2 crystal (PBE).

Lattice parameters (Å, degrees): 4.3188 4.3188 16.8815 90.00 90.00 90.00
Element x y z (fractional)
1 Nd 0.0000 0.0000 0.0967
2 Nd 0.0000 0.0000 0.9033
3 Nd 0.5000 0.5000 0.4033
4 Nd 0.5000 0.5000 0.5967
5 Zr 0.0000 0.0000 0.5000
6 Zr 0.5000 0.5000 0.0000
7 Bi 0.0000 0.0000 0.3076
8 Bi 0.0000 0.0000 0.6924
9 Bi 0.5000 0.5000 0.1924
10 Bi 0.5000 0.5000 0.8076
11 N 0.0000 0.5000 0.0000
12 N 0.0000 0.5000 0.5000
13 N 0.5000 0.0000 0.0000
14 N 0.5000 0.0000 0.5000

Results
Total DFT energy (no corrections) in eV/atom: -7.0634
DOS(E_F) in states/eV/atom: 0.467
Symmetry: No. 139

Entry from Alexandria: a relaxed YAg2Os crystal (PBE).

Lattice parameters (Å, degrees): 2.9375 4.9997 5.2894 90.00 101.00 90.00
Element x y z (fractional)
1 Y 0.0000 0.0000 0.0000
2 Ag 0.3270 0.5000 0.7315
3 Ag 0.6730 0.5000 0.2685
4 Os 0.5000 0.0000 0.5000

Results
Total DFT energy (no corrections) in eV/atom: -5.5545
DOS(E_F) in states/eV/atom: 0.731
Symmetry: No. 10

Entry from Alexandria: a relaxed Li2ScMn crystal (PBE).

Lattice parameters (Å, degrees): 5.2378 9.2024 3.0096 90.00 90.00 90.00
Element x y z (fractional)
1 Li 0.2500 0.2500 0.0000
2 Li 0.2500 0.7500 0.0000
3 Li 0.7500 0.2500 0.0000
4 Li 0.7500 0.7500 0.0000
5 Sc 0.0000 0.0000 0.5000
6 Sc 0.5000 0.5000 0.5000
7 Mn 0.0000 0.5000 0.5000
8 Mn 0.5000 0.0000 0.5000

Results
Total DFT energy (no corrections) in eV/atom: -4.4711
DOS(E_F) in states/eV/atom: 0.726
Symmetry: No. 65

Entry from Alexandria: a relaxed AsIr2Pb crystal (PBE).

Lattice parameters (Å, degrees): 8.2241 3.4791 5.6479 90.00 100.59 90.00
Element x y z (fractional)
1 As 0.0000 0.0000 0.0000
2 As 0.5000 0.5000 0.0000
3 Ir 0.2053 0.5000 0.9852
4 Ir 0.4490 0.0000 0.2838
5 Ir 0.7053 0.0000 0.9852
6 Ir 0.9490 0.5000 0.2838
7 Pb 0.2012 0.0000 0.5544
8 Pb 0.7012 0.5000 0.5544

Results
Total DFT energy (no corrections) in eV/atom: -6.3467
DOS(E_F) in states/eV/atom: 0.377
Symmetry: No. 8

Entry from Alexandria: a relaxed YPtAu2 crystal (PBE).

Lattice parameters (Å, degrees): 3.6604 3.7146 5.8222 90.00 90.00 90.00
Element x y z (fractional)
1 Y 0.0000 0.0000 0.0000
2 Pt 0.5000 0.5000 0.2380
3 Au 0.0000 0.0000 0.4918
4 Au 0.5000 0.5000 0.7226

Results
Total DFT energy (no corrections) in eV/atom: -5.4841
DOS(E_F) in states/eV/atom: 0.187
Symmetry: No. 25

Entry from Alexandria: a relaxed Tm3Ga8Rh3 crystal (PBE).

Lattice parameters (Å, degrees): 8.1351 8.1351 8.1351 150.32 106.32 81.38
Element x y z (fractional)
1 Tm 0.0000 0.0000 0.0000
2 Tm 0.3325 0.3325 0.0000
3 Tm 0.6675 0.6675 0.0000
4 Ga 0.0423 0.6720 0.3703
5 Ga 0.1604 0.8770 0.2834
6 Ga 0.3017 0.6720 0.6297
7 Ga 0.4063 0.1230 0.2834
8 Ga 0.5937 0.8770 0.7166
9 Ga 0.6983 0.3280 0.3703
10 Ga 0.8396 0.1230 0.7166
11 Ga 0.9577 0.3280 0.6297
12 Rh 0.2747 0.5000 0.7747
13 Rh 0.5000 0.0000 0.5000
14 Rh 0.7253 0.5000 0.2253

Results
Total DFT energy (no corrections) in eV/atom: -4.9636
DOS(E_F) in states/eV/atom: 0.535
Symmetry: No. 71

Entry from Alexandria: a relaxed Sr3NCl3 crystal (PBE).

Lattice parameters (Å, degrees): 10.0018 10.0018 10.0018 109.47 109.47 109.47
Element x y z (fractional)
1 Sr 0.0172 0.0343 0.2672
2 Sr 0.0172 0.4828 0.7500
3 Sr 0.0343 0.2672 0.0172
4 Sr 0.2328 0.2672 0.7500
5 Sr 0.2328 0.4657 0.4828
6 Sr 0.2672 0.0172 0.0343
7 Sr 0.2672 0.7500 0.2328
8 Sr 0.4657 0.4828 0.2328
9 Sr 0.4828 0.2328 0.4657
10 Sr 0.4828 0.7500 0.0172
11 Sr 0.7500 0.0172 0.4828
12 Sr 0.7500 0.2328 0.2672
13 N 0.0000 0.2500 0.5000
14 N 0.2500 0.2500 0.2500
15 N 0.2500 0.5000 0.0000
16 N 0.5000 0.0000 0.2500
17 Cl 0.0003 0.0007 0.7503
18 Cl 0.0003 0.4997 0.2500
19 Cl 0.0007 0.7503 0.0003
20 Cl 0.2500 0.0003 0.4997
21 Cl 0.2500 0.7497 0.7503
22 Cl 0.4993 0.4997 0.7497
23 Cl 0.4997 0.2500 0.0003
24 Cl 0.4997 0.7497 0.4993
25 Cl 0.7503 0.0003 0.0007
26 Cl 0.7503 0.2500 0.7497
27 Cl 0.7497 0.4993 0.4997
28 Cl 0.7497 0.7503 0.2500

Results
Total DFT energy (no corrections) in eV/atom: -4.5465
DOS(E_F) in states/eV/atom: 0.000
Symmetry: No. 214